{"formula": "La3TcC3", "functional": "GGA-PBE", "state": "relaxed", "lattice_angstrom": [[4.512, -5.489, 0.000], [4.512, 5.489, 0.000], [0.000, 0.000, 5.554]], "species": ["La", "La", "La", "La", "La", "La", "Tc", "Tc", "C", "C", "C", "C", "C", "C"], "fractional_positions": [[0.111, 0.889, 0.750], [0.175, 0.415, 0.750], [0.415, 0.175, 0.250], [0.585, 0.825, 0.750], [0.825, 0.585, 0.250], [0.889, 0.111, 0.250], [0.303, 0.697, 0.250], [0.697, 0.303, 0.750], [0.125, 0.875, 0.250], [0.177, 0.431, 0.250], [0.431, 0.177, 0.750], [0.569, 0.823, 0.250], [0.823, 0.569, 0.750], [0.875, 0.125, 0.750]], "magnetic_moment_mub_per_cell": 0.0, "n_ef_per_ev_atom": 0.515, "polymorph_energy_mev_per_atom": 0, "crystal_system": "orthorhombic", "formation_energy_ev_per_atom": -0.159, "vol_a3_per_cell": 275.1}